1.
The following is a PBE calculation of an optimized crystal structure of Pr4INCl4, from the Open Quantum Materials Database.

a b c (Å): 17.603 3.911 8.770
angles (deg): 90.00 105.14 90.00
Space group C2/m (No. 12)
Unique sites:
Pr (0.001, 0.000, 0.306) [4 per cell]
Pr (0.145, 0.500, 0.578) [4 per cell]
I (0.000, 0.500, 0.000) [2 per cell]
N (0.000, 0.500, 0.500) [2 per cell]
Cl (0.166, 0.000, 0.821) [4 per cell]
Cl (0.171, 0.000, 0.352) [4 per cell]

Results
* total moment: 0.00 μB/f.u.
* calculated total energy: -5.3932 eV/atom

***

2.
The following is a PBE calculation of an optimized crystal structure of RbCu3GeSe4, from the Open Quantum Materials Database.

a b c (Å): 6.275 6.275 6.275
angles (deg): 90.00 90.00 90.00
Space group P-43m (No. 215)
Unique sites:
Rb (0.000, 0.000, 0.000) [1 per cell]
Cu (0.000, 0.500, 0.500) [3 per cell]
Ge (0.500, 0.500, 0.500) [1 per cell]
Se (0.285, 0.285, 0.285) [4 per cell]

Results
* calculated total energy: -3.6392 eV/atom
* energy above the most stable polymorph in this dataset: 168 meV/atom